Entry 1:
A geometry-optimized Ce3Ni2B2C3 structure. Source: Alexandria via LeMat-Bulk, functional PBE.

It has space group I4/mmm (No. 139), with a = 3.677 Å, b = 3.677 Å, c = 20.224 Å, α = 90.00°, β = 90.00° and γ = 90.00°. Symmetry generates all atoms from Ce at (0.000, 0.000, 0.000), Ce at (0.000, 0.000, 0.371), Ni at (0.000, 0.500, 0.250), B at (0.000, 0.000, 0.199), C at (0.000, 0.000, 0.124) and C at (0.000, 0.000, 0.500).



Entry 2:
A geometry-optimized CeNi2B2C structure. Source: Alexandria via LeMat-Bulk, functional PBE.

It has space group I4/mmm (No. 139), with a = 3.633 Å, b = 3.633 Å, c = 10.168 Å, α = 90.00°, β = 90.00° and γ = 90.00°. Symmetry generates all atoms from Ce at (0.000, 0.000, 0.000), Ni at (0.000, 0.500, 0.250), B at (0.000, 0.000, 0.353) and C at (0.000, 0.000, 0.500).



Number 1: ρ 7.2 g cm⁻³, E_form -3.6 eV per formula unit, spin magnetization 0.0000 μB per atom. Number 2: ρ 7.2 g cm⁻³, E_form -2.9 eV per formula unit, spin magnetization 0.0001 μB per atom.